Record 1
First-principles (GGA-PBE) data for CaSBr2 after structural relaxation, as listed in Alexandria via LeMat-Bulk.

- N(E_F) (states/eV/f.u.) = 0.0
- energy relative to the elements, uncorrected (eV per formula unit) = -3.14
- energy above the most stable polymorph in this dataset (meV/atom) = 0.0
- space-group type = R-3m (166)

Cell lengths 4.677, 4.677, 22.486 Å; angles 90.00, 90.00, 120.00 degrees
Fractional coordinates of all 12 atoms:
Ca1 0.000 0.000 0.000
Ca2 0.333 0.667 0.667
Ca3 0.667 0.333 0.333
S1 0.000 0.000 0.500
S2 0.333 0.667 0.167
S3 0.667 0.333 0.833
Br1 0.000 0.000 0.390
Br2 0.000 0.000 0.610
Br3 0.333 0.667 0.056
Br4 0.333 0.667 0.277
Br5 0.667 0.333 0.723
Br6 0.667 0.333 0.944

Record 2
First-principles (GGA-PBE) data for HfCd3Se after structural relaxation, as listed in Alexandria via LeMat-Bulk.

- N(E_F) (states/eV/f.u.) = 5.2
- energy relative to the elements, uncorrected (eV per formula unit) = 4.26
- energy above the most stable polymorph in this dataset (meV/atom) = 0.0
- space-group type = Pm-3m (221)

Cell lengths 5.198, 5.198, 5.198 Å; angles 90.00, 90.00, 90.00 degrees
Fractional coordinates of all 5 atoms:
Hf1 0.000 0.000 0.000
Cd1 0.000 0.500 0.500
Cd2 0.500 0.000 0.500
Cd3 0.500 0.500 0.000
Se1 0.500 0.500 0.500